Entry from Alexandria via LeMat-Bulk: NaYInPd2 after structural relaxation (PBE-GGA).

calculated total energy: -4.03 eV/atom
total magnetization: 0.0 Bohr magnetons per cell
N(E_F): 4.146 states/eV per cell

Cell lengths 5.0545, 5.0545, 4.9334 Å; angles 90.00, 90.00, 90.00 degrees
Last column: nearest neighbours and their distance in Å.
Fractional positions:
Na 0.0000 0.0000 0.0000  2 In 2.47
Y 0.5000 0.5000 0.0000  8 Pd 3.53, 4 Na 3.57
In 0.0000 0.0000 0.5000  2 Na 2.47, 4 Pd 2.53
Pd 0.0000 0.5000 0.5000  2 In 2.53
Pd 0.5000 0.0000 0.5000  2 In 2.53

---

Entry from Alexandria via LeMat-Bulk: Hf2VB after structural relaxation (PBE-GGA).

calculated total energy: -8.48 eV/atom
total magnetization: 2.0 Bohr magnetons per cell
N(E_F): 17.570 states/eV per cell

Cell lengths 7.3104, 7.3104, 4.9897 Å; angles 90.00, 90.00, 90.00 degrees
Last column: nearest neighbours and their distance in Å.
Fractional positions:
Hf 0.1806 0.2500 0.1250  2 B 2.34
Hf 0.2500 0.6806 0.3750  2 B 2.34
Hf 0.2500 0.8194 0.8750  2 B 2.34
Hf 0.3194 0.2500 0.6250  2 B 2.34
Hf 0.6806 0.7500 0.6250  2 B 2.34
Hf 0.7500 0.1806 0.8750  2 B 2.34
Hf 0.7500 0.3194 0.3750  2 B 2.34
Hf 0.8194 0.7500 0.1250  2 B 2.34
V 0.0000 0.0000 0.5000  2 B 2.49
V 0.0000 0.5000 0.7500  2 B 2.49
V 0.5000 0.0000 0.2500  2 B 2.49
V 0.5000 0.5000 0.0000  2 B 2.49
B 0.0000 0.0000 0.0000  4 Hf 2.34, 2 V 2.49
B 0.0000 0.5000 0.2500  4 Hf 2.34, 2 V 2.49
B 0.5000 0.0000 0.7500  4 Hf 2.34, 2 V 2.49
B 0.5000 0.5000 0.5000  4 Hf 2.34, 2 V 2.49

---

Entry from Alexandria via LeMat-Bulk: SrBe2In after structural relaxation (PBE-GGA).

calculated total energy: -2.69 eV/atom
total magnetization: 0.0 Bohr magnetons per cell
N(E_F): 1.899 states/eV per cell

Cell lengths 4.3467, 4.3623, 5.1499 Å; angles 90.00, 90.00, 90.00 degrees
Last column: nearest neighbours and their distance in Å.
Fractional positions:
Sr 0.0000 0.0000 0.0000  4 In 3.37, 8 Be 3.54
Be 0.2467 0.5000 0.5000  2 Be 2.14-2.20
Be 0.7533 0.5000 0.5000  2 Be 2.14-2.20
In 0.5000 0.0000 0.5000  4 Be 2.44

---

Entry from Alexandria via LeMat-Bulk: Pm4SiPd3 after structural relaxation (PBE-GGA).

calculated total energy: -5.79 eV/atom
total magnetization: 0.0 Bohr magnetons per cell
N(E_F): 6.576 states/eV per cell

Cell lengths 4.0239, 4.4055, 10.9552 Å; angles 90.00, 90.00, 90.00 degrees
Last column: nearest neighbours and their distance in Å.
Fractional positions:
Pm 0.0000 0.0000 0.0000  5 Pd 3.03-3.06, 2 Si 3.10
Pm 0.0000 0.5000 0.2774  3 Pd 3.04-3.09, 4 Si 3.06
Pm 0.5000 0.0000 0.4985  6 Pd 3.05-3.18, 1 Si 3.10
Pm 0.5000 0.5000 0.7758  7 Pd 3.04-3.15
Si 0.5000 0.0000 0.2154  2 Pd 2.76, 4 Pm 3.06
Pd 0.0000 0.0000 0.7237  2 Pd 2.87, 7 Pm 3.03-3.18
Pd 0.0000 0.5000 0.5553  2 Pd 2.87, 7 Pm 3.04-3.14
Pd 0.5000 0.5000 0.0635  2 Si 2.76, 6 Pm 3.06-3.09

---

Entry from Alexandria via LeMat-Bulk: CdPRh2 after structural relaxation (PBE-GGA).

calculated total energy: -5.63 eV/atom
relative energy among the computed polymorphs: 42 meV per atom
total magnetization: 0.0 Bohr magnetons per cell
N(E_F): 2.242 states/eV per cell

Cell lengths 2.9007, 2.9007, 7.1260 Å; angles 90.00, 90.00, 90.00 degrees
Last column: nearest neighbours and their distance in Å.
Fractional positions:
Cd 0.0000 0.0000 0.0000  4 Cd 2.90, 8 Rh 2.98
P 0.0000 0.0000 0.5000  8 Rh 2.49
Rh 0.5000 0.5000 0.3031  4 P 2.49
Rh 0.5000 0.5000 0.6969  4 P 2.49

---

Entry from Alexandria via LeMat-Bulk: TaSiNi6 after structural relaxation (PBE-GGA).

calculated total energy: -6.86 eV/atom
total magnetization: 0.0 Bohr magnetons per cell
N(E_F): 13.467 states/eV per cell

Cell lengths 6.2345, 6.2345, 10.1829 Å; angles 90.00, 90.00, 109.90 degrees
Last column: nearest neighbours and their distance in Å.
Fractional positions:
Ta 0.0000 0.0000 0.2455  12 Ni 2.50-2.59
Ta 0.0000 0.0000 0.7545  12 Ni 2.50-2.59
Ta 0.2431 0.7569 0.5000  12 Ni 2.48-2.62
Ta 0.7569 0.2431 0.5000  12 Ni 2.48-2.62
Si 0.2405 0.7595 0.0000  12 Ni 2.46-2.65
Si 0.5000 0.5000 0.2430  12 Ni 2.47-2.62
Si 0.5000 0.5000 0.7570  12 Ni 2.47-2.62
Si 0.7595 0.2405 0.0000  12 Ni 2.46-2.65
Ni 0.0000 0.0000 0.0000  2 Si 2.46, 2 Ta 2.50, 8 Ni 2.55
Ni 0.0000 0.0000 0.5000  4 Ta 2.48-2.59, 8 Ni 2.59
Ni 0.1291 0.3806 0.1218  8 Ni 2.48-2.57, 3 Si 2.50-2.55, 1 Ta 2.56
Ni 0.1291 0.3806 0.8782  8 Ni 2.48-2.57, 3 Si 2.50-2.55, 1 Ta 2.56
Ni 0.1335 0.3800 0.3712  8 Ni 2.51-2.62, 1 Si 2.51, 3 Ta 2.57
Ni 0.1335 0.3800 0.6288  8 Ni 2.51-2.62, 1 Si 2.51, 3 Ta 2.57
Ni 0.2517 0.7483 0.2448  8 Ni 2.49-2.60, 2 Si 2.50-2.53, 2 Ta 2.57-2.60
Ni 0.2517 0.7483 0.7552  8 Ni 2.49-2.60, 2 Si 2.50-2.53, 2 Ta 2.57-2.60
Ni 0.3800 0.1335 0.3712  8 Ni 2.51-2.62, 1 Si 2.51, 3 Ta 2.57
Ni 0.3800 0.1335 0.6288  8 Ni 2.51-2.62, 1 Si 2.51, 3 Ta 2.57
Ni 0.3806 0.1291 0.1218  8 Ni 2.48-2.57, 3 Si 2.50-2.55, 1 Ta 2.56
Ni 0.3806 0.1291 0.8782  8 Ni 2.48-2.57, 3 Si 2.50-2.55, 1 Ta 2.56
Ni 0.5000 0.5000 0.0000  4 Si 2.47-2.65, 8 Ni 2.50
Ni 0.5000 0.5000 0.5000  8 Ni 2.52, 2 Si 2.62, 2 Ta 2.62
Ni 0.6194 0.8709 0.1218  8 Ni 2.48-2.57, 3 Si 2.50-2.55, 1 Ta 2.56
Ni 0.6194 0.8709 0.8782  8 Ni 2.48-2.57, 3 Si 2.50-2.55, 1 Ta 2.56
Ni 0.6200 0.8665 0.3712  8 Ni 2.51-2.62, 1 Si 2.51, 3 Ta 2.57
Ni 0.6200 0.8665 0.6288  8 Ni 2.51-2.62, 1 Si 2.51, 3 Ta 2.57
Ni 0.7483 0.2517 0.2448  8 Ni 2.49-2.60, 2 Si 2.50-2.53, 2 Ta 2.57-2.60
Ni 0.7483 0.2517 0.7552  8 Ni 2.49-2.60, 2 Si 2.50-2.53, 2 Ta 2.57-2.60
Ni 0.8665 0.6200 0.3712  8 Ni 2.51-2.62, 1 Si 2.51, 3 Ta 2.57
Ni 0.8665 0.6200 0.6288  8 Ni 2.51-2.62, 1 Si 2.51, 3 Ta 2.57
Ni 0.8709 0.6194 0.1218  8 Ni 2.48-2.57, 3 Si 2.50-2.55, 1 Ta 2.56
Ni 0.8709 0.6194 0.8782  8 Ni 2.48-2.57, 3 Si 2.50-2.55, 1 Ta 2.56

---

Entry from Alexandria via LeMat-Bulk: PaCrTc2 after structural relaxation (PBE-GGA).

calculated total energy: -9.93 eV/atom
relative energy among the computed polymorphs: 5 meV per atom
total magnetization: 0.0 Bohr magnetons per cell
N(E_F): 6.267 states/eV per cell

Cell lengths 2.9867, 2.9867, 7.3296 Å; angles 90.00, 90.00, 90.00 degrees
Last column: nearest neighbours and their distance in Å.
Fractional positions:
Pa 0.0000 0.0000 0.0000  4 Pa 2.99, 8 Tc 3.06
Cr 0.0000 0.0000 0.5000  8 Tc 2.56
Tc 0.5000 0.5000 0.3030  4 Cr 2.56
Tc 0.5000 0.5000 0.6970  4 Cr 2.56

---

Entry from Alexandria via LeMat-Bulk: BaTlNF2 after structural relaxation (PBE-GGA).

calculated total energy: -4.66 eV/atom
relative energy among the computed polymorphs: 0 meV per atom
total magnetization: 0.0 Bohr magnetons per cell
N(E_F): 1.392 states/eV per cell

Cell lengths 4.7367, 4.7367, 4.1689 Å; angles 90.00, 90.00, 90.00 degrees
Last column: nearest neighbours and their distance in Å.
Fractional positions:
Ba 0.0000 0.0000 0.0000  8 F 3.16, 4 N 3.35
Tl 0.5000 0.5000 0.5000  2 N 2.08
N 0.5000 0.5000 0.0000  2 Tl 2.08
F 0.0000 0.5000 0.5000  2 Tl 2.37
F 0.5000 0.0000 0.5000  2 Tl 2.37

---

Entry from Alexandria via LeMat-Bulk: BaSr3Ir after structural relaxation (PBE-GGA).

calculated total energy: -3.25 eV/atom
relative energy among the computed polymorphs: 78 meV per atom
total magnetization: 0.0 Bohr magnetons per cell
N(E_F): 13.825 states/eV per cell

Cell lengths 10.7723, 10.7723, 7.6779 Å; angles 97.65, 97.65, 90.59 degrees
Last column: nearest neighbours and their distance in Å.
Fractional positions:
Ba 0.2008 0.7992 0.7500  2 Ir 3.16
Ba 0.2703 0.7297 0.2500  2 Ir 3.43, 2 Sr 3.80
Ba 0.7297 0.2703 0.7500  2 Ir 3.43, 2 Sr 3.80
Ba 0.7992 0.2008 0.2500  2 Ir 3.16
Sr 0.0604 0.4516 0.2860  2 Ir 3.01-3.16
Sr 0.0784 0.1558 0.9066  2 Ir 3.03-3.06
Sr 0.1558 0.0784 0.4066  2 Ir 3.03-3.06
Sr 0.2721 0.4073 0.7364  1 Ir 3.16
Sr 0.4073 0.2721 0.2364  1 Ir 3.16
Sr 0.4516 0.0604 0.7860  2 Ir 3.01-3.16
Sr 0.5484 0.9396 0.2140  2 Ir 3.01-3.16
Sr 0.5927 0.7279 0.7636  1 Ir 3.16
Sr 0.7279 0.5927 0.2636  1 Ir 3.16
Sr 0.8442 0.9216 0.5934  2 Ir 3.03-3.06
Sr 0.9216 0.8442 0.0934  2 Ir 3.03-3.06
Sr 0.9396 0.5484 0.7140  2 Ir 3.01-3.16
Ir 0.0063 0.2856 0.5780  5 Sr 3.01-3.16, 1 Ba 3.16
Ir 0.2856 0.0063 0.0780  5 Sr 3.01-3.16, 1 Ba 3.16
Ir 0.7144 0.9937 0.9220  5 Sr 3.01-3.16, 1 Ba 3.16
Ir 0.9937 0.7144 0.4220  5 Sr 3.01-3.16, 1 Ba 3.16